# 1
First-principles (PBE) data for an optimized crystal structure of Dy2Er3Tm, as listed in Alexandria.

a = 5.527 Å, b = 8.859 Å, c = 8.859 Å
α = 112.97°, β = 90.00°, γ = 90.00°
Fractional positions:
Dy (0.493, 0.711, 0.494)
Dy (0.993, 0.506, 0.289)
Dy (0.493, 0.494, 0.711)
Dy (0.993, 0.289, 0.506)
Er (0.992, 0.886, 0.371)
Er (0.492, 0.629, 0.114)
Er (0.992, 0.371, 0.886)
Er (0.492, 0.114, 0.629)
Er (0.494, 0.911, 0.911)
Er (0.994, 0.089, 0.089)
Tm (0.994, 0.728, 0.728)
Tm (0.494, 0.272, 0.272)

Calculated values
Space-group type   Cmc2_1
E   -4.22 eV/atom
M_tot   0.00 μB per cell

***

# 2
First-principles (PBE) data for an optimized crystal structure of TmAl2Ni3, as listed in Alexandria.

a = 5.206 Å, b = 5.967 Å, c = 5.967 Å
α = 102.35°, β = 90.00°, γ = 90.00°
Fractional positions:
Tm (0.250, 0.325, 0.325)
Tm (0.750, 0.675, 0.675)
Al (0.500, 0.782, 0.218)
Al (0.000, 0.782, 0.218)
Al (0.000, 0.218, 0.782)
Al (0.500, 0.218, 0.782)
Ni (0.750, 0.439, 0.142)
Ni (0.750, 0.142, 0.439)
Ni (0.250, 0.561, 0.858)
Ni (0.750, 0.034, 0.034)
Ni (0.250, 0.966, 0.966)
Ni (0.250, 0.858, 0.561)

Calculated values
Space-group type   Cmcm
E   -5.41 eV/atom
M_tot   0.00 μB per cell

***

# 3
First-principles (PBE) data for an optimized crystal structure of KNb3Se, as listed in Alexandria.

a = 4.708 Å, b = 4.708 Å, c = 4.708 Å
α = 90.00°, β = 90.00°, γ = 90.00°
Fractional positions:
Nb (0.000, 0.500, 0.000)
Nb (0.000, 0.000, 0.500)
Nb (0.500, 0.000, 0.000)
K (0.000, 0.000, 0.000)
Se (0.500, 0.500, 0.500)

Calculated values
ΔE_f (raw)   2579 meV per atom
Space-group type   Pm-3m
M_tot   0.00 μB per cell
Distance to the lowest polymorph of the same formula   1565.0 meV/atom

***

# 4
First-principles (PBE) data for an optimized crystal structure of Na4Cd5Ag3, as listed in Alexandria.

a = 5.625 Å, b = 5.837 Å, c = 10.750 Å
α = 94.76°, β = 102.71°, γ = 63.19°
Fractional positions:
Na (0.148, 0.685, 0.003)
Na (0.882, 0.020, 0.655)
Na (0.118, 0.980, 0.345)
Na (0.852, 0.315, 0.997)
Cd (0.456, 0.988, 0.859)
Cd (0.000, 0.500, 0.500)
Cd (0.626, 0.516, 0.252)
Cd (0.374, 0.484, 0.748)
Cd (0.544, 0.012, 0.141)
Ag (0.159, 0.451, 0.258)
Ag (0.500, 0.500, 0.500)
Ag (0.841, 0.549, 0.742)

Calculated values
Space-group type   P-1
E   -1.57 eV/atom
M_tot   0.00 μB per cell

***

# 5
First-principles (PBE) data for an optimized crystal structure of Nd6Sb3As2Se, as listed in Alexandria.

a = 4.387 Å, b = 8.812 Å, c = 9.831 Å
α = 103.15°, β = 102.89°, γ = 90.00°
Fractional positions:
Nd (0.334, 0.906, 0.669)
Nd (0.670, 0.574, 0.341)
Nd (0.666, 0.094, 0.331)
Nd (0.004, 0.248, 0.009)
Nd (0.996, 0.752, 0.991)
Nd (0.330, 0.426, 0.659)
Sb (0.500, 0.500, 0.000)
Sb (0.835, 0.167, 0.669)
Sb (0.165, 0.833, 0.331)
As (0.833, 0.668, 0.667)
As (0.167, 0.332, 0.333)
Se (0.500, 0.000, 0.000)

Calculated values
ΔE_f (raw)   -1416 meV per atom
Space-group type   C2/m
M_tot   0.00 μB per cell

***

# 6
First-principles (PBE) data for an optimized crystal structure of MnAlSe2, as listed in Alexandria.

a = 4.766 Å, b = 4.766 Å, c = 4.766 Å
α = 60.00°, β = 60.00°, γ = 60.00°
Each line ends with the local moment (μB).
Fractional positions:
Mn (0.750, 0.750, 0.750)  3.93
Al (0.500, 0.500, 0.500)  -0.02
Se (0.000, 0.000, 0.000)  0.01
Se (0.250, 0.250, 0.250)  0.04

Calculated values
ΔE_f (raw)   374 meV per atom
Space-group type   F-43m
M_tot   4.32 μB per cell

***

# 7
First-principles (PBE) data for an optimized crystal structure of Ho2TiSe5, as listed in Alexandria.

a = 5.454 Å, b = 7.252 Å, c = 12.912 Å
α = 90.00°, β = 90.00°, γ = 112.09°
Each line ends with the local moment (μB).
Fractional positions:
Ho (0.844, 0.689, 0.436)  0.00
Ho (0.844, 0.689, 0.064)  0.00
Ho (0.156, 0.311, 0.564)  0.00
Ho (0.156, 0.311, 0.936)  0.00
Ti (0.819, 0.638, 0.750)  0.07
Ti (0.181, 0.362, 0.250)  0.07
Se (0.953, 0.906, 0.877)  -0.01
Se (0.953, 0.906, 0.623)  -0.01
Se (0.312, 0.624, 0.409)  0.00
Se (0.312, 0.624, 0.091)  0.00
Se (0.725, 0.449, 0.250)  0.00
Se (0.275, 0.551, 0.750)  0.00
Se (0.688, 0.376, 0.591)  0.00
Se (0.688, 0.376, 0.909)  0.00
Se (0.047, 0.094, 0.123)  -0.01
Se (0.047, 0.094, 0.377)  -0.01

Calculated values
ΔE_f (raw)   -1453 meV per atom
Space-group type   Cmcm
M_tot   0.12 μB per cell

***

# 8
First-principles (PBE) data for an optimized crystal structure of RbZrB, as listed in Alexandria.

a = 3.958 Å, b = 3.958 Å, c = 12.834 Å
α = 90.00°, β = 90.00°, γ = 120.00°
Each line ends with the local moment (μB).
Fractional positions:
B (0.333, 0.667, 0.250)  0.00
B (0.667, 0.333, 0.750)  0.00
Rb (0.000, 0.000, 0.000)  0.04
Rb (0.000, 0.000, 0.500)  0.04
Zr (0.333, 0.667, 0.750)  0.38
Zr (0.667, 0.333, 0.250)  0.38

Calculated values
Space-group type   P6_3/mmc
M_tot   1.82 μB per cell
Distance to the lowest polymorph of the same formula   760.4 meV/atom

***

# 9
First-principles (PBE) data for an optimized crystal structure of NaTiRe2Mo, as listed in Alexandria.

a = 4.690 Å, b = 4.791 Å, c = 4.690 Å
α = 90.00°, β = 90.00°, γ = 90.00°
Fractional positions:
Re (0.000, 0.000, 0.500)
Re (0.500, 0.000, 0.000)
Mo (0.000, 0.000, 0.000)
Na (0.000, 0.500, 0.000)
Ti (0.500, 0.500, 0.500)

Calculated values
Space-group type   P4/mmm
E   -7.12 eV/atom
M_tot   0.00 μB per cell

***

# 10
First-principles (PBE) data for an optimized crystal structure of RbY3W, as listed in Alexandria.

a = 5.654 Å, b = 5.654 Å, c = 5.654 Å
α = 90.00°, β = 90.00°, γ = 90.00°
Fractional positions:
Y (0.000, 0.500, 0.000)
Y (0.000, 0.000, 0.500)
Y (0.500, 0.000, 0.000)
Rb (0.500, 0.500, 0.500)
W (0.000, 0.000, 0.000)

Calculated values
Space-group type   Pm-3m
M_tot   0.00 μB per cell
Distance to the lowest polymorph of the same formula   0.0 meV/atom